Density functional theory data (PBE-GGA) for a geometry-optimized Nb3Au2 structure.

* formation enthalpy at 0 K: -0.0294 eV per atom
* energy: -147.85 eV/cell

The structure in POSCAR format:
```
Nb3Au2
1.0
7.110 0.000 0.000
0.000 7.110 0.000
0.000 0.000 7.110
Nb Au
12 8
Cartesian
0.418 0.889 5.751
0.889 5.751 0.418
1.359 3.973 2.666
2.196 3.137 6.221
2.666 1.359 3.973
3.137 6.221 2.196
3.973 2.666 1.359
4.444 4.914 6.692
4.914 6.692 4.444
5.751 0.418 0.889
6.221 2.196 3.137
6.692 4.444 4.914
0.359 6.751 3.196
1.418 1.418 1.418
2.137 5.692 4.973
3.196 0.359 6.751
3.914 3.914 3.914
4.973 2.137 5.692
5.692 4.973 2.137
6.751 3.196 0.359
```